1.
This record from OQMD via LeMat-Bulk describes a geometry-optimized SmGdErScIn2 structure. The functional is PBE-GGA.

Geometry as POSCAR:
```
SmGdErScIn2
1.0
5.3175 0.0000 0.0000
-2.6588 4.6051 0.0000
0.0000 0.0000 6.7126
Sm Gd Er Sc In
1 1 1 1 2
direct
0.0000 0.0000 0.0000 Sm
0.6667 0.3333 0.2649 Gd
0.6667 0.3333 0.7408 Er
0.3333 0.6667 0.5058 Sc
0.0000 0.0000 0.5040 In
0.3333 0.6667 0.0008 In
```


2.
This record from OQMD via LeMat-Bulk describes a geometry-optimized Pr2Dy2CBr4Cl structure. The functional is PBE-GGA.

Geometry as POSCAR:
```
Pr2Dy2CBr4Cl
1.0
9.0339 -1.9071 0.0000
9.0339 1.9071 0.0000
-1.8694 0.0000 7.8604
Pr Dy C Br Cl
2 2 1 4 1
direct
0.1451 0.1451 0.0766 Pr
0.8549 0.8549 0.9234 Pr
0.4996 0.4996 0.2067 Dy
0.5004 0.5004 0.7933 Dy
0.0000 0.0000 0.0000 C
0.3350 0.3350 0.1972 Br
0.3405 0.3405 0.6374 Br
0.6595 0.6595 0.3626 Br
0.6650 0.6650 0.8028 Br
0.0000 0.0000 0.5000 Cl
```


3.
This record from OQMD via LeMat-Bulk describes a geometry-optimized Pm5GaSe4 structure. The functional is PBE-GGA.

Geometry as POSCAR:
```
Pm5GaSe4
1.0
-4.7272 4.7272 2.9761
4.7272 -4.7272 2.9761
4.7272 4.7272 -2.9761
Pm Ga Se
5 1 4
direct
0.0000 0.0000 0.0000 Pm
0.2039 0.5976 0.8015 Pm
0.4024 0.2039 0.6064 Pm
0.5976 0.7961 0.3936 Pm
0.7961 0.4024 0.1985 Pm
0.5000 0.5000 0.0000 Ga
0.0991 0.3009 0.4000 Se
0.3009 0.9009 0.2018 Se
0.6991 0.0991 0.7982 Se
0.9009 0.6991 0.6000 Se
```


4.
This record from OQMD via LeMat-Bulk describes a geometry-optimized Na2HfSeS2 structure. The functional is PBE-GGA.

Geometry as POSCAR:
```
Na2HfSeS2
1.0
3.3427 -5.8823 0.0000
3.3427 5.8823 0.0000
-2.3117 0.0000 6.7047
Na Hf Se S
4 2 2 4
direct
0.0000 0.0000 0.0000 Na
0.1628 0.8372 0.5000 Na
0.5000 0.5000 0.5000 Na
0.8372 0.1628 0.5000 Na
0.3243 0.6757 0.0000 Hf
0.6757 0.3243 0.0000 Hf
0.2828 0.2828 0.7742 Se
0.7172 0.7172 0.2258 Se
0.0755 0.4405 0.2173 S
0.4405 0.0755 0.2173 S
0.5595 0.9245 0.7827 S
0.9245 0.5595 0.7827 S
```


5.
This record from OQMD via LeMat-Bulk describes a geometry-optimized NdBiTe structure. The functional is PBE-GGA.

Geometry as POSCAR:
```
NdBiTe
1.0
8.4854 0.0000 0.0000
0.0000 4.1634 0.0000
0.0000 0.0000 10.4184
Nd Bi Te
4 4 4
direct
0.1260 0.2500 0.2322 Nd
0.3740 0.7500 0.7322 Nd
0.6260 0.2500 0.2678 Nd
0.8740 0.7500 0.7678 Nd
0.1039 0.2500 0.5863 Bi
0.3961 0.7500 0.0863 Bi
0.6039 0.2500 0.9137 Bi
0.8961 0.7500 0.4137 Bi
0.1356 0.2500 0.8928 Te
0.3644 0.7500 0.3928 Te
0.6356 0.2500 0.6072 Te
0.8644 0.7500 0.1072 Te
```


6.
This record from OQMD via LeMat-Bulk describes a geometry-optimized PrSc2N3 structure. The functional is PBE-GGA.

Geometry as POSCAR:
```
PrSc2N3
1.0
3.3465 0.0000 0.0000
-1.6733 2.8982 0.0000
0.0000 0.0000 8.2421
Pr Sc N
1 2 3
direct
0.0000 0.0000 0.0000 Pr
0.3333 0.6667 0.3463 Sc
0.6667 0.3333 0.6537 Sc
0.0000 0.0000 0.5000 N
0.3333 0.6667 0.8068 N
0.6667 0.3333 0.1932 N
```


Number 1: DFT total energy -4.6349 eV/atom. Number 2: DFT total energy -5.1184 eV/atom. Number 3: DFT total energy -5.7040 eV/atom. Number 4: DFT total energy -5.4699 eV/atom. Number 5: DFT total energy -4.8372 eV/atom. Number 6: DFT total energy -8.6329 eV/atom.